(1)
## Li2EuGa (GGA-PBE)

Data for a geometry-optimized Li2EuGa structure.

Lattice parameters (Å, degrees): 6.925 6.925 6.925 90.00 90.00 90.00
Fractional coordinates of all 16 atoms:
Li 0.250 0.250 0.250
Li 0.250 0.250 0.750
Li 0.250 0.750 0.250
Li 0.250 0.750 0.750
Li 0.750 0.250 0.250
Li 0.750 0.250 0.750
Li 0.750 0.750 0.250
Li 0.750 0.750 0.750
Eu 0.000 0.000 0.000
Eu 0.000 0.500 0.500
Eu 0.500 0.000 0.500
Eu 0.500 0.500 0.000
Ga 0.000 0.000 0.500
Ga 0.000 0.500 0.000
Ga 0.500 0.000 0.000
Ga 0.500 0.500 0.500

The calculation puts the theoretical density at 4.71 g/cm³. Its space group is Fm-3m (225). For the electronic total energy, the calculation gives -71.3 eV/cell. The total magnetic moment comes out at 27.81 μB per cell. The calculation puts the polymorph energy (0 for the lowest one) at 0 meV/atom. The value obtained for the density of states at the Fermi level is 2.8132 states/eV per atom.



(2)
## LiEuGa2 (GGA-PBE)

Data for a geometry-optimized LiEuGa2 structure.

Lattice parameters (Å, degrees): 4.385 4.385 16.259 90.00 90.00 120.00
Fractional coordinates of all 12 atoms:
Li 0.000 0.000 0.000
Li 0.333 0.667 0.667
Li 0.667 0.333 0.333
Eu 0.000 0.000 0.500
Eu 0.333 0.667 0.167
Eu 0.667 0.333 0.833
Ga 0.000 0.000 0.296
Ga 0.000 0.000 0.704
Ga 0.333 0.667 0.370
Ga 0.333 0.667 0.963
Ga 0.667 0.333 0.037
Ga 0.667 0.333 0.630

The calculation puts the theoretical density at 5.49 g/cm³. Its space group is R-3m (166). For the electronic total energy, the calculation gives -59.5 eV/cell. The total magnetic moment comes out at 21.65 μB per cell. The value obtained for the density of states at the Fermi level is 3.0326 states/eV per atom.



(3)
## LiEu2Ga7 (GGA-PBE)

Data for a geometry-optimized LiEu2Ga7 structure.

Lattice parameters (Å, degrees): 4.315 4.315 10.989 90.00 90.00 90.00
Fractional coordinates of all 10 atoms:
Li 0.000 0.000 0.000
Eu 0.000 0.500 0.255
Eu 0.500 0.000 0.745
Ga 0.000 0.000 0.500
Ga 0.000 0.500 0.639
Ga 0.000 0.500 0.867
Ga 0.500 0.000 0.133
Ga 0.500 0.000 0.361
Ga 0.500 0.500 0.000
Ga 0.500 0.500 0.500

The calculation puts the theoretical density at 6.48 g/cm³. Its space group is P-4m2 (115). For the electronic total energy, the calculation gives -48.2 eV/cell. The total magnetic moment comes out at 14.14 μB per cell. The value obtained for the density of states at the Fermi level is 1.8738 states/eV per atom.



(4)
## NaLiEuGa (GGA-PBE)

Data for a geometry-optimized NaLiEuGa structure.

Lattice parameters (Å, degrees): 7.418 7.418 7.418 90.00 90.00 90.00
Fractional coordinates of all 16 atoms:
Na 0.000 0.000 0.000
Na 0.000 0.500 0.500
Na 0.500 0.000 0.500
Na 0.500 0.500 0.000
Li 0.250 0.250 0.250
Li 0.250 0.750 0.750
Li 0.750 0.250 0.750
Li 0.750 0.750 0.250
Eu 0.250 0.250 0.750
Eu 0.250 0.750 0.250
Eu 0.750 0.250 0.250
Eu 0.750 0.750 0.750
Ga 0.000 0.000 0.500
Ga 0.000 0.500 0.000
Ga 0.500 0.000 0.000
Ga 0.500 0.500 0.500

The calculation puts the theoretical density at 4.09 g/cm³. Its space group is F-43m (216). For the electronic total energy, the calculation gives -67.4 eV/cell. The total magnetic moment comes out at 31.03 μB per cell. The value obtained for the density of states at the Fermi level is 3.1550 states/eV per atom.



(5)
## LiEuGaNi (GGA-PBE)

Data for a geometry-optimized LiEuGaNi structure.

Lattice parameters (Å, degrees): 6.584 6.584 6.584 90.00 90.00 90.00
Fractional coordinates of all 16 atoms:
Li 0.000 0.000 0.000
Li 0.000 0.500 0.500
Li 0.500 0.000 0.500
Li 0.500 0.500 0.000
Eu 0.250 0.250 0.250
Eu 0.250 0.750 0.750
Eu 0.750 0.250 0.750
Eu 0.750 0.750 0.250
Ga 0.250 0.250 0.750
Ga 0.250 0.750 0.250
Ga 0.750 0.250 0.250
Ga 0.750 0.750 0.750
Ni 0.000 0.000 0.500
Ni 0.000 0.500 0.000
Ni 0.500 0.000 0.000
Ni 0.500 0.500 0.500

The calculation puts the theoretical density at 6.69 g/cm³. Its space group is F-43m (216). For the electronic total energy, the calculation gives -86.6 eV/cell. The total magnetic moment comes out at 29.65 μB per cell. The value obtained for the density of states at the Fermi level is 1.7805 states/eV per atom.



(6)
## LiPmEuGa (GGA-PBE)

Data for a geometry-optimized LiPmEuGa structure.

Lattice parameters (Å, degrees): 7.498 7.498 7.498 90.00 90.00 90.00
Fractional coordinates of all 16 atoms:
Li 0.000 0.000 0.000
Li 0.000 0.500 0.500
Li 0.500 0.000 0.500
Li 0.500 0.500 0.000
Pm 0.250 0.250 0.750
Pm 0.250 0.750 0.250
Pm 0.750 0.250 0.250
Pm 0.750 0.750 0.750
Eu 0.250 0.250 0.250
Eu 0.250 0.750 0.750
Eu 0.750 0.250 0.750
Eu 0.750 0.750 0.250
Ga 0.000 0.000 0.500
Ga 0.000 0.500 0.000
Ga 0.500 0.000 0.000
Ga 0.500 0.500 0.500

The calculation puts the theoretical density at 5.89 g/cm³. Its space group is F-43m (216). For the electronic total energy, the calculation gives -83.7 eV/cell. The total magnetic moment comes out at 29.46 μB per cell. The value obtained for the density of states at the Fermi level is 1.9682 states/eV per atom.



(7)
## LiPrEuGa (GGA-PBE)

Data for a geometry-optimized LiPrEuGa structure.

Lattice parameters (Å, degrees): 7.557 7.557 7.557 90.00 90.00 90.00
Fractional coordinates of all 16 atoms:
Li 0.000 0.000 0.000
Li 0.000 0.500 0.500
Li 0.500 0.000 0.500
Li 0.500 0.500 0.000
Pr 0.250 0.250 0.750
Pr 0.250 0.750 0.250
Pr 0.750 0.250 0.250
Pr 0.750 0.750 0.750
Eu 0.250 0.250 0.250
Eu 0.250 0.750 0.750
Eu 0.750 0.250 0.750
Eu 0.750 0.750 0.250
Ga 0.000 0.000 0.500
Ga 0.000 0.500 0.000
Ga 0.500 0.000 0.000
Ga 0.500 0.500 0.500

The calculation puts the theoretical density at 5.69 g/cm³. Its space group is F-43m (216). For the electronic total energy, the calculation gives -83.8 eV/cell. The total magnetic moment comes out at 29.70 μB per cell. The value obtained for the density of states at the Fermi level is 2.2704 states/eV per atom.



(8)
## LiEuGaPt (GGA-PBE)

Data for a geometry-optimized LiEuGaPt structure.

Lattice parameters (Å, degrees): 6.762 6.762 6.762 90.00 90.00 90.00
Fractional coordinates of all 16 atoms:
Li 0.000 0.000 0.000
Li 0.000 0.500 0.500
Li 0.500 0.000 0.500
Li 0.500 0.500 0.000
Eu 0.250 0.250 0.750
Eu 0.250 0.750 0.250
Eu 0.750 0.250 0.250
Eu 0.750 0.750 0.750
Ga 0.250 0.250 0.250
Ga 0.250 0.750 0.750
Ga 0.750 0.250 0.750
Ga 0.750 0.750 0.250
Pt 0.000 0.000 0.500
Pt 0.000 0.500 0.000
Pt 0.500 0.000 0.000
Pt 0.500 0.500 0.500

The calculation puts the theoretical density at 9.10 g/cm³. Its space group is F-43m (216). For the electronic total energy, the calculation gives -93.6 eV/cell. The total magnetic moment comes out at 28.67 μB per cell. The value obtained for the density of states at the Fermi level is 1.7894 states/eV per atom.



(9)
## LiSmEuGa (GGA-PBE)

Data for a geometry-optimized LiSmEuGa structure.

Lattice parameters (Å, degrees): 7.478 7.478 7.478 90.00 90.00 90.00
Fractional coordinates of all 16 atoms:
Li 0.000 0.000 0.000
Li 0.000 0.500 0.500
Li 0.500 0.000 0.500
Li 0.500 0.500 0.000
Sm 0.250 0.250 0.750
Sm 0.250 0.750 0.250
Sm 0.750 0.250 0.250
Sm 0.750 0.750 0.750
Eu 0.250 0.250 0.250
Eu 0.250 0.750 0.750
Eu 0.750 0.250 0.750
Eu 0.750 0.750 0.250
Ga 0.000 0.000 0.500
Ga 0.000 0.500 0.000
Ga 0.500 0.000 0.000
Ga 0.500 0.500 0.500

The calculation puts the theoretical density at 6.02 g/cm³. Its space group is F-43m (216). For the electronic total energy, the calculation gives -83.5 eV/cell. The total magnetic moment comes out at 29.32 μB per cell. The value obtained for the density of states at the Fermi level is 2.0327 states/eV per atom.



(10)
## LiEuTlGa (GGA-PBE)

Data for a geometry-optimized LiEuTlGa structure.

Lattice parameters (Å, degrees): 7.272 7.272 7.272 90.00 90.00 90.00
Fractional coordinates of all 16 atoms:
Li 0.000 0.000 0.000
Li 0.000 0.500 0.500
Li 0.500 0.000 0.500
Li 0.500 0.500 0.000
Eu 0.000 0.000 0.500
Eu 0.000 0.500 0.000
Eu 0.500 0.000 0.000
Eu 0.500 0.500 0.500
Tl 0.250 0.250 0.250
Tl 0.250 0.750 0.750
Tl 0.750 0.250 0.750
Tl 0.750 0.750 0.250
Ga 0.250 0.250 0.750
Ga 0.250 0.750 0.250
Ga 0.750 0.250 0.250
Ga 0.750 0.750 0.750

The calculation puts the theoretical density at 7.48 g/cm³. Its space group is F-43m (216). For the electronic total energy, the calculation gives -75.4 eV/cell. The total magnetic moment comes out at 27.67 μB per cell. The value obtained for the density of states at the Fermi level is 1.9215 states/eV per atom.



(11)
## LiEuYGa (GGA-PBE)

Data for a geometry-optimized LiEuYGa structure.

Lattice parameters (Å, degrees): 7.418 7.418 7.418 90.00 90.00 90.00
Fractional coordinates of all 16 atoms:
Li 0.000 0.000 0.000
Li 0.000 0.500 0.500
Li 0.500 0.000 0.500
Li 0.500 0.500 0.000
Eu 0.250 0.250 0.250
Eu 0.250 0.750 0.750
Eu 0.750 0.250 0.750
Eu 0.750 0.750 0.250
Y 0.250 0.250 0.750
Y 0.250 0.750 0.250
Y 0.750 0.250 0.250
Y 0.750 0.750 0.750
Ga 0.000 0.000 0.500
Ga 0.000 0.500 0.000
Ga 0.500 0.000 0.000
Ga 0.500 0.500 0.500

The calculation puts the theoretical density at 5.17 g/cm³. Its space group is F-43m (216). For the electronic total energy, the calculation gives -90.6 eV/cell. The total magnetic moment comes out at 28.70 μB per cell. The value obtained for the density of states at the Fermi level is 1.6754 states/eV per atom.



(12)
## EuLuGa (GGA-PBE)

Data for a geometry-optimized EuLuGa structure.

Lattice parameters (Å, degrees): 5.047 5.047 3.761 90.00 90.00 120.00
Fractional coordinates of all 3 atoms:
Eu 0.000 0.000 0.000
Lu 0.333 0.667 0.470
Ga 0.667 0.333 0.591

The calculation puts the theoretical density at 7.94 g/cm³. Its space group is P3m1 (156). For the electronic total energy, the calculation gives -18.4 eV/cell. The total magnetic moment comes out at 7.13 μB per cell. The calculation puts the polymorph energy (0 for the lowest one) at 103 meV/atom. The value obtained for the density of states at the Fermi level is 0.8187 states/eV per atom.



Question: What is the electronic total energy in the twelfth record?
Answer: -18.4 eV/cell



Question: Which of these has the lowest total magnetic moment?
Answer: EuLuGa



Copy entry 8 word for word.
## LiEuGaPt (GGA-PBE)

Data for a geometry-optimized LiEuGaPt structure.

Lattice parameters (Å, degrees): 6.762 6.762 6.762 90.00 90.00 90.00
Fractional coordinates of all 16 atoms:
Li 0.000 0.000 0.000
Li 0.000 0.500 0.500
Li 0.500 0.000 0.500
Li 0.500 0.500 0.000
Eu 0.250 0.250 0.750
Eu 0.250 0.750 0.250
Eu 0.750 0.250 0.250
Eu 0.750 0.750 0.750
Ga 0.250 0.250 0.250
Ga 0.250 0.750 0.750
Ga 0.750 0.250 0.750
Ga 0.750 0.750 0.250
Pt 0.000 0.000 0.500
Pt 0.000 0.500 0.000
Pt 0.500 0.000 0.000
Pt 0.500 0.500 0.500

The calculation puts the theoretical density at 9.10 g/cm³. Its space group is F-43m (216). For the electronic total energy, the calculation gives -93.6 eV/cell. The total magnetic moment comes out at 28.67 μB per cell. The value obtained for the density of states at the Fermi level is 1.7894 states/eV per atom.